VASP calculation (GGA+U) on an optimized crystal structure of NiIrF2.

Unit cell a=7.9987 b=7.9987 c=7.9987 alpha=19.35 beta=19.35 gamma=19.35
With the nearest neighbours (Å) after each atom.
Sites, in units of the cell vectors:
Ni (0.0000, 0.0000, 0.0000)  2 F 1.89
Ir (0.5000, 0.5000, 0.5000)  6 F 2.56, 6 Ir 2.69
F (0.0801, 0.0801, 0.0801)  1 Ni 1.89
F (0.9199, 0.9199, 0.9199)  1 Ni 1.89

Results
**Relative energy among the computed polymorphs**: 0.000 eV per atom
**Size of the total moment**: 0.582 μB per atom
**Space group**: R-3m (166)
**Crystal system**: trigonal
**DOS at the Fermi energy**: 0.82 states/eV per atom
**Mass density**: 9762 kg/m³